Crystalline PmEuAl2 at its relaxed geometry. Source: Alexandria, functional PBE-GGA.

Properties
**Excess energy over the best structure of this formula in the dataset**: 0.019 eV/atom
**Formation energy from the elements**: -1.08 eV/f.u.
**Volume**: 26.05 Å³/atom

abc: 7.4693 7.4693 7.4693
angles: 90.00 90.00 90.00
Space group Fm-3m (No. 225)
One atom of each set of equivalent atoms:
Pm1 0.0000 0.0000 0.0000 [4 per cell]
Eu1 0.0000 0.0000 0.5000 [4 per cell]
Al1 0.2500 0.2500 0.2500 [8 per cell]



Crystalline PmEuAl4 at its relaxed geometry. Source: Alexandria, functional PBE-GGA.

Properties
**Formation energy from the elements**: -2.70 eV/f.u.
**Volume**: 21.53 Å³/atom

abc: 8.0246 8.0246 8.0246
angles: 90.00 90.00 90.00
Space group F-43m (No. 216)
One atom of each set of equivalent atoms:
Pm1 0.0000 0.0000 0.0000 [4 per cell]
Eu1 0.2500 0.2500 0.7500 [4 per cell]
Al1 0.1251 0.1251 0.3749 [16 per cell]